A relaxed structure of CaSe3. Source: Alexandria, functional PBE-GGA.

The structure belongs to space group Pnma (No. 62); the cell edges are 7.6953, 7.2354 and 8.2361 Å and the angles 90.00°, 90.00° and 90.00°. The asymmetric unit holds Ca at (0.0853, 0.2500, 0.1119), Se at (0.0821, 0.2500, 0.7412) and Se at (0.2330, 0.5071, 0.8655).

Its final energy is -64.329 eV for the cell shown. As for the density: 4.012 g cm⁻³. The value obtained for the uncorrected formation energy is -3.63 eV per formula unit.

A relaxed structure of CaSe3. Source: Alexandria, functional PBE-GGA.

The structure belongs to space group Fm-3m (No. 225); the cell edges are 7.2206, 7.2206 and 7.2206 Å and the angles 90.00°, 90.00° and 90.00°. The asymmetric unit holds Ca at (0.0000, 0.0000, 0.0000), Se at (0.0000, 0.0000, 0.5000) and Se at (0.2500, 0.2500, 0.2500).

Its final energy is -55.455 eV for the cell shown. As for the density: 4.887 g cm⁻³. The value obtained for the uncorrected formation energy is -1.41 eV per formula unit.

A relaxed structure of Ca5Se. Source: Alexandria, functional PBE-GGA.

The structure belongs to space group P-62m (No. 189); the cell edges are 8.5073, 8.5073 and 3.9967 Å and the angles 90.00°, 90.00° and 120.00°. The asymmetric unit holds Ca at (0.0000, 0.7404, 0.0000), Ca at (0.3333, 0.6667, 0.5000) and Se at (0.0000, 0.0000, 0.5000).

Its final energy is -15.489 eV for the cell shown. As for the density: 1.852 g cm⁻³. The value obtained for the uncorrected formation energy is -2.00 eV per formula unit.

A relaxed structure of CaSe3. Source: Alexandria, functional PBE-GGA.

The structure belongs to space group P-6m2 (No. 187); the cell edges are 4.9016, 4.9016 and 5.8636 Å and the angles 90.00°, 90.00° and 120.00°. The asymmetric unit holds Ca at (0.0000, 0.0000, 0.0000), Se at (0.0000, 0.0000, 0.5000) and Se at (0.6667, 0.3333, 0.2062).

Its final energy is -14.700 eV for the cell shown. As for the density: 3.769 g cm⁻³. The value obtained for the uncorrected formation energy is -2.24 eV per formula unit.

A relaxed structure of CaSe2. Source: Alexandria, functional PBE-GGA.

The structure belongs to space group I4/mmm (No. 139); the cell edges are 3.9762, 3.9762 and 10.8416 Å and the angles 90.00°, 90.00° and 90.00°. The asymmetric unit holds Ca at (0.0000, 0.0000, 0.0000) and Se at (0.0000, 0.0000, 0.3869).

Its final energy is -24.946 eV for the cell shown. As for the density: 3.836 g cm⁻³. The value obtained for the uncorrected formation energy is -3.50 eV per formula unit.

A relaxed structure of CaSe3. Source: Alexandria, functional PBE-GGA.

The structure belongs to space group Pmmn (No. 59, origin choice 2); the cell edges are 5.1854, 5.4804 and 8.5676 Å and the angles 90.00°, 90.00° and 90.00°. The asymmetric unit holds Ca at (0.2500, 0.2500, 0.1289), Se at (0.2500, 0.5018, 0.4663) and Se at (0.2500, 0.7500, 0.0087).

Its final energy is -30.956 eV for the cell shown. As for the density: 3.778 g cm⁻³. The value obtained for the uncorrected formation energy is -3.02 eV per formula unit.

A relaxed structure of Ca6Se7. Source: Alexandria, functional PBE-GGA.

The structure belongs to space group R-3m (No. 166, hexagonal axes); the cell edges are 6.3238, 6.3238 and 35.7093 Å and the angles 90.00°, 90.00° and 120.00°. The asymmetric unit holds Ca at (0.0000, 0.0000, 0.0611), Ca at (0.0000, 0.0000, 0.2091), Ca at (0.0000, 0.0000, 0.3332), Se at (0.0000, 0.0000, 0.5000) and Se at (0.0054, 0.5027, 0.0634).

Its final energy is -148.654 eV for the cell shown. As for the density: 3.195 g cm⁻³. The value obtained for the uncorrected formation energy is -13.15 eV per formula unit.

A relaxed structure of CaSe2. Source: Alexandria, functional PBE-GGA.

The structure belongs to space group P6_3/mmc (No. 194); the cell edges are 5.3452, 5.3452 and 15.6114 Å and the angles 90.00°, 90.00° and 120.00°. The asymmetric unit holds Ca at (0.3333, 0.6667, 0.0911), Se at (0.0000, 0.0000, 0.0000) and Se at (0.1646, 0.3292, 0.2500).

Its final energy is -46.341 eV for the cell shown. As for the density: 3.405 g cm⁻³. The value obtained for the uncorrected formation energy is -2.61 eV per formula unit.